CsVNF2 after structural relaxation, computed with GGA+U.

The space group is P4/mmm (No. 123) and the conventional cell measures 4.458, 4.458 and 3.909 Å, with angles of 90.00, 90.00 and 90.00 degrees. The asymmetric unit holds Cs at (0.000, 0.000, 0.000), V at (0.500, 0.500, 0.500), N at (0.500, 0.500, 0.000) and F at (0.000, 0.500, 0.500).

For the energy above the most stable polymorph in this dataset, the calculation gives 0.000 eV per atom. As for the total energy: -5.63 eV per atom.